Entry 1:
Computed, not measured: crystalline Np4CuGe8 at its relaxed geometry at the GGA-PBE level of DFT.

As for the energy relative to the elements: -128 meV/atom. The total magnetic moment is 1.16 μB per atom. Its total DFT energy (no corrections) is -7.2663 eV per atom.

Cell: 3.9817 4.2363 15.5800 Å, 90.00 90.00 90.00°
Fractional coordinates of all 13 atoms:
Np  0.5000  0.5000  0.4037
Np  0.5000  0.0000  0.8982
Np  0.0000  0.5000  0.6072
Np  0.0000  0.0000  0.0894
Ge  0.0000  0.0000  0.7501
Ge  0.5000  0.5000  0.0474
Ge  0.0000  0.5000  0.9339
Ge  0.0000  0.5000  0.2334
Ge  0.5000  0.5000  0.7563
Ge  0.5000  0.0000  0.2297
Ge  0.5000  0.0000  0.5731
Ge  0.0000  0.0000  0.4657
Cu  0.0000  0.0000  0.3148

---

Entry 2:
Computed, not measured: crystalline LaSnTe2I at its relaxed geometry at the GGA-PBE level of DFT.

The total magnetic moment is 0.00 μB per atom. Its total DFT energy (no corrections) is -3.7226 eV per atom. As for the energy above the lowest structure with this stoichiometry: 0.00 eV/f.u.

Cell: 6.1990 6.1990 6.0458 Å, 90.00 90.00 90.00°
Fractional coordinates of all 5 atoms:
Te  0.0000  0.5000  0.0000
Te  0.5000  0.0000  0.0000
I  0.0000  0.0000  0.5000
La  0.0000  0.0000  0.0000
Sn  0.5000  0.5000  0.5000

---

Entry 3:
Computed, not measured: crystalline Li2FeSi at its relaxed geometry at the GGA-PBE level of DFT.

The total magnetic moment is 0.46 μB per atom. Its total DFT energy (no corrections) is -4.4864 eV per atom.

Cell: 4.4171 4.4171 4.7240 Å, 78.75 78.75 34.55°
Fractional coordinates of all 4 atoms:
Li  0.7603  0.7603  0.7810
Li  0.9987  0.9987  0.9663
Si  0.5009  0.5009  0.4376
Fe  0.2401  0.2401  0.3151

---

Entry 4:
Computed, not measured: crystalline SrAc2IO8 at its relaxed geometry at the GGA-PBE level of DFT.

The total magnetic moment is 0.08 μB per atom. Its total DFT energy (no corrections) is -6.2264 eV per atom.

Cell: 4.7166 5.4220 7.7859 Å, 89.98 89.99 95.12°
Fractional coordinates of all 12 atoms:
O  0.6468  0.8069  0.9997
O  0.9005  0.2169  0.8162
O  0.4690  0.2527  0.5000
O  0.1001  0.7838  0.8161
O  0.0995  0.7831  0.1838
O  0.8999  0.2162  0.1839
O  0.3532  0.1931  0.0003
O  0.5310  0.7473  0.5000
I  0.0000  0.0000  0.0000
Ac  0.4996  0.4998  0.7616
Ac  0.5004  0.5002  0.2384
Sr  0.0000  0.0000  0.5000

---

Entry 5:
Computed, not measured: crystalline TcNiW2N at its relaxed geometry at the GGA-PBE level of DFT.

The total magnetic moment is 0.00 μB per atom. Its total DFT energy (no corrections) is -10.0567 eV per atom.

Cell: 4.0974 4.0974 3.8371 Å, 90.00 90.00 90.00°
Fractional coordinates of all 5 atoms:
W  0.5000  0.0000  0.0000
W  0.0000  0.5000  0.0000
Tc  0.5000  0.5000  0.5000
N  0.0000  0.0000  0.0000
Ni  0.0000  0.0000  0.5000

---

Entry 6:
Computed, not measured: crystalline AgAs3Br at its relaxed geometry at the GGA-PBE level of DFT.

The total magnetic moment is 0.37 μB per atom. Its total DFT energy (no corrections) is -2.7458 eV per atom. As for the energy above the lowest structure with this stoichiometry: 0.00 eV/f.u.

Cell: 5.1083 5.1083 5.1083 Å, 90.00 90.00 90.00°
Fractional coordinates of all 5 atoms:
Br  0.5000  0.5000  0.5000
As  0.0000  0.5000  0.0000
As  0.5000  0.0000  0.0000
As  0.0000  0.0000  0.5000
Ag  0.0000  0.0000  0.0000

---

Entry 7:
Computed, not measured: crystalline PmPrI3 at its relaxed geometry at the GGA-PBE level of DFT.

The total magnetic moment is 0.00 μB per atom. Its total DFT energy (no corrections) is -3.9124 eV per atom. As for the energy above the lowest structure with this stoichiometry: 0.17 eV/f.u.

Cell: 4.0075 8.0180 12.6429 Å, 107.52 90.00 90.00°
Fractional coordinates of all 10 atoms:
Pm  0.2500  0.1213  0.6727
Pm  0.7500  0.8787  0.3273
I  0.7500  0.7984  0.0645
I  0.2500  0.1979  0.4397
I  0.7500  0.4597  0.2432
I  0.2500  0.2016  0.9355
I  0.2500  0.5403  0.7568
I  0.7500  0.8021  0.5603
Pr  0.2500  0.1250  0.1732
Pr  0.7500  0.8750  0.8268

---

Entry 8:
Computed, not measured: crystalline Pr2SiPd at its relaxed geometry at the GGA-PBE level of DFT.

The total magnetic moment is 0.00 μB per atom. Its total DFT energy (no corrections) is -5.0361 eV per atom.

Cell: 3.7035 3.7035 9.7940 Å, 79.10 79.10 60.00°
Fractional coordinates of all 4 atoms:
Pr  0.0962  0.0962  0.7115
Pr  0.9038  0.9038  0.2885
Pd  0.0000  0.0000  0.0000
Si  0.5000  0.5000  0.5000

---

Entry 9:
Computed, not measured: crystalline TaFe2Re at its relaxed geometry at the GGA-PBE level of DFT.

As for the energy relative to the elements: 33 meV/atom. The total magnetic moment is 1.00 μB per atom. Its total DFT energy (no corrections) is -10.2740 eV per atom.

Cell: 4.1898 2.6647 5.1773 Å, 77.66 90.00 90.00°
Fractional coordinates of all 4 atoms:
Fe  0.0000  0.5023  0.4886
Fe  0.0000  0.9977  0.0114
Re  0.5000  0.2500  0.2500
Ta  0.5000  0.7500  0.7500

---

Entry 10:
Computed, not measured: crystalline ZnGaRh2W at its relaxed geometry at the GGA-PBE level of DFT.

As for the energy relative to the elements: 1113 meV/atom. The total magnetic moment is 0.60 μB per atom. Its total DFT energy (no corrections) is -5.2786 eV per atom.

Cell: 4.5003 4.3962 4.5003 Å, 90.00 90.00 90.00°
Fractional coordinates of all 5 atoms:
Zn  0.0000  0.5000  0.0000
Rh  0.0000  0.0000  0.5000
Rh  0.5000  0.0000  0.0000
W  0.5000  0.5000  0.5000
Ga  0.0000  0.0000  0.0000

---

Entry 11:
Computed, not measured: crystalline MnTeAu2 at its relaxed geometry at the GGA-PBE level of DFT.

The total magnetic moment is 1.07 μB per atom. Its total DFT energy (no corrections) is -4.5440 eV per atom.

Cell: 5.3294 5.3294 5.3294 Å, 133.12 133.12 68.46°
Fractional coordinates of all 4 atoms:
Te  0.7500  0.2500  0.5000
Au  0.0000  0.0000  0.0000
Au  0.2500  0.7500  0.5000
Mn  0.5000  0.5000  0.0000

---

Entry 12:
Computed, not measured: crystalline IrRuPb2 at its relaxed geometry at the GGA-PBE level of DFT.

As for the energy relative to the elements: 769 meV/atom. The total magnetic moment is 0.14 μB per atom. Its total DFT energy (no corrections) is -5.6190 eV per atom. As for the energy above the lowest structure with this stoichiometry: 1.68 eV/f.u.

Cell: 4.8348 4.8348 4.8348 Å, 60.00 60.00 60.00°
Fractional coordinates of all 4 atoms:
Pb  0.7500  0.7500  0.7500
Pb  0.0000  0.0000  0.0000
Ru  0.2500  0.2500  0.2500
Ir  0.5000  0.5000  0.5000

---

Q: The highest total magnetic moment belongs to which entry?
A: Np4CuGe8